CsPt2S2 | GGA-PBE | relaxed

abc: 4.735 4.735 7.019
angles: 70.29 70.29 90.00
Element x y z (fractional)
Pt1 0.250 0.750 0.500
Pt2 0.750 0.250 0.500
S1 0.292 0.292 0.416
S2 0.708 0.708 0.584
Cs1 0.000 0.000 0.000

ΔE_f (raw) (eV per atom): -0.34
E above lowest polymorph (meV per atom): 198